# Tb5NdEr7 PBE optimized geometry
# DOS at the Fermi energy	1.869	states/eV/atom
# V	32.7	Å³/atom
# uncorrected energy	-4.35	eV per atom
# ΔE_f	0.254	eV per atom
# total magnetization	0.0	μB/f.u.
# ΔE to the lowest computed polymorph	0.0038	eV/atom
data_Tb5NdEr7
_space_group_name_H-M_alt 'I m m 2'
_space_group_IT_number 44
_space_group_name_Hall 'I 2 -2'
_cell_length_a 6.655
_cell_length_b 11.077
_cell_length_c 11.520
_cell_angle_alpha 90.00
_cell_angle_beta 90.00
_cell_angle_gamma 90.00
loop_
_atom_site_label
_atom_site_type_symbol
_atom_site_fract_x
_atom_site_fract_y
_atom_site_fract_z
_atom_site_occupancy
Tb1 Tb 0.000 0.000 0.000 1
Tb2 Tb 0.233 0.271 0.503 1
Nd1 Nd 0.000 0.500 0.705 1
Er1 Er 0.000 0.000 0.504 1
Er2 Er 0.000 0.168 0.752 1
Er3 Er 0.000 0.169 0.254 1
Er4 Er 0.000 0.500 0.008 1
Er5 Er 0.000 0.500 0.312 1

# PuSnAs PBE optimized geometry
# DOS at the Fermi energy	3.469	states/eV/atom
# V	25.1	Å³/atom
# uncorrected energy	-7.96	eV per atom
# ΔE_f	-0.300	eV per atom
# total magnetization	5.7	μB/f.u.
data_PuSnAs
_space_group_name_H-M_alt 'P -6 m 2'
_space_group_IT_number 187
_space_group_name_Hall 'P -6 2'
_cell_length_a 4.7910
_cell_length_b 4.7910
_cell_length_c 3.7849
_cell_angle_alpha 90.00
_cell_angle_beta 90.00
_cell_angle_gamma 120.00
loop_
_atom_site_label
_atom_site_type_symbol
_atom_site_fract_x
_atom_site_fract_y
_atom_site_fract_z
_atom_site_occupancy
Pu1 Pu 0.0000 0.0000 0.0000 1
Sn1 Sn 0.6667 0.3333 0.5000 1
As1 As 0.3333 0.6667 0.5000 1

# K2Pb3I8 PBE optimized geometry
# DOS at the Fermi energy	0.000	states/eV/atom
# V	49.6	Å³/atom
# uncorrected energy	-2.88	eV per atom
# total magnetization	0.0	μB/f.u.
# uncorrected formation energy	-0.9016	eV/atom
data_K2Pb3I8
_space_group_name_H-M_alt 'C 1 2/m 1'
_space_group_IT_number 12
_space_group_name_Hall '-C 2y'
_cell_length_a 17.442
_cell_length_b 9.491
_cell_length_c 8.181
_cell_angle_alpha 90.00
_cell_angle_beta 107.94
_cell_angle_gamma 90.00
loop_
_atom_site_label
_atom_site_type_symbol
_atom_site_fract_x
_atom_site_fract_y
_atom_site_fract_z
_atom_site_occupancy
K1 K 0.237 0.000 0.160 1
Pb1 Pb 0.000 0.242 0.500 1
Pb2 Pb 0.000 0.500 0.000 1
I1 I 0.112 0.500 0.404 1
I2 I 0.113 0.264 0.899 1
I3 I 0.117 0.000 0.443 1

The highest uncorrected energy belongs to which entry? K2Pb3I8

The highest uncorrected energy belongs to which entry? K2Pb3I8